Here is a relaxed Pa2ZnNi3Ge4 crystal from Alexandria. Energies are from PBE-GGA.

a = 4.1474 Å, b = 4.1474 Å, c = 9.6229 Å
α = 90.00°, β = 90.00°, γ = 90.00°
Last column: nearest neighbours and their distance in Å.
Space group P-4m2 (No. 115)
Asymmetric unit:
Pa (0.0000, 0.5000, 0.2464) x2  8 Ge 3.13-3.15, 6 Ni 3.18-3.20, 2 Zn 3.20
Zn (0.0000, 0.0000, 0.5000) x1  4 Ge 2.48
Ni (0.0000, 0.5000, 0.8801) x2  5 Ge 2.30-2.37
Ni (0.5000, 0.5000, 0.5000) x1  4 Ge 2.48
Ge (0.0000, 0.0000, 0.0000) x1  4 Ni 2.37
Ge (0.0000, 0.5000, 0.6408) x2  3 Ni 2.30-2.48, 2 Zn 2.48
Ge (0.5000, 0.5000, 0.0000) x1  4 Ni 2.37

formation energy	-0.519	eV/atom
total magnetization	0.00	μB per cell
DOS(E_F)	4.5	states/eV/cell
calculated total energy	-6.127	eV per atom